# 1
{
  "formula": "Al2Rh3",
  "functional": "GGA-PBE",
  "state": "optimized geometry",
  "energy_ha_per_atom": -0.2455,
  "volume_a3_per_atom": 13.925,
  "mass_density_g_cm3": 8.6,
  "space_group": "P2_1/m (11)",
  "de_polymorph_ev_per_atom": 0.000,
  "total_magnetization_mub_per_atom": 0.000,
  "cell": [[2.8837, 0.0000, 0.0000], [0.0000, 4.3992, 0.3180], [0.0000, 1.3523, 11.0741]],
  "species": ["Al", "Al", "Al", "Al", "Rh", "Rh", "Rh", "Rh", "Rh", "Rh"],
  "fractional_positions": [[0.2500, 0.3306, 0.6040], [0.7500, 0.6694, 0.3960], [0.2500, 0.7473, 0.7982], [0.7500, 0.2527, 0.2018], [0.2500, 0.7458, 0.2050], [0.7500, 0.7580, 0.9848], [0.7500, 0.8235, 0.6039], [0.2500, 0.1765, 0.3961], [0.2500, 0.2420, 0.0152], [0.7500, 0.2542, 0.7950]]
}

# 2
{
  "formula": "Al3Rh",
  "functional": "GGA-PBE",
  "state": "optimized geometry",
  "energy_ha_per_atom": -0.1846,
  "volume_a3_per_atom": 14.866,
  "mass_density_g_cm3": 5.1,
  "space_group": "R-3m (166)",
  "total_magnetization_mub_per_atom": 0.000,
  "cell": [[4.9851, 0.0006, 0.0018], [-2.2180, 4.4645, 0.0018], [-2.2180, -3.5790, 2.6688]],
  "species": ["Rh", "Al", "Al", "Al"],
  "fractional_positions": [[0.0000, 0.5000, 0.5000], [0.0000, 0.0000, 0.0000], [0.5000, 0.0000, 0.5000], [0.5000, 0.5000, 0.0000]]
}

# 3
{
  "formula": "AlRh3",
  "functional": "GGA-PBE",
  "state": "optimized geometry",
  "energy_ha_per_atom": -0.2501,
  "volume_a3_per_atom": 14.129,
  "mass_density_g_cm3": 9.9,
  "space_group": "P-6m2 (187)",
  "total_magnetization_mub_per_atom": 0.000,
  "cell": [[-0.3536, 0.9143, -2.6132], [-2.1857, -0.9457, 1.4554], [-1.4165, 7.7319, 2.8968]],
  "species": ["Rh", "Rh", "Rh", "Al"],
  "fractional_positions": [[0.0000, 0.0000, 0.5000], [0.6667, 0.3333, 0.2350], [0.6667, 0.3333, 0.7650], [0.0000, 0.0000, 0.0000]]
}

# 4
{
  "formula": "Al7Rh5",
  "functional": "GGA-PBE",
  "state": "optimized geometry",
  "energy_ha_per_atom": -0.2147,
  "volume_a3_per_atom": 14.473,
  "mass_density_g_cm3": 6.7,
  "space_group": "P2/m (10)",
  "de_polymorph_ev_per_atom": 0.218,
  "total_magnetization_mub_per_atom": 0.000,
  "cell": [[6.7702, -0.0060, 0.0000], [0.5437, 4.6246, 0.0000], [0.0000, 0.0000, 5.5465]],
  "species": ["Rh", "Rh", "Rh", "Rh", "Rh", "Al", "Al", "Al", "Al", "Al", "Al", "Al"],
  "fractional_positions": [[0.0237, 0.4407, 0.7500], [0.6667, 0.6667, 0.9965], [0.6667, 0.1667, 0.7500], [0.6667, 0.6667, 0.5035], [0.3097, 0.8927, 0.7500], [0.9904, 0.9542, 0.9858], [0.6667, 0.1667, 0.2500], [0.3430, 0.3791, 0.5142], [0.3561, 0.8665, 0.2500], [0.9904, 0.9542, 0.5142], [0.3430, 0.3791, 0.9858], [0.9772, 0.4668, 0.2500]]
}

# 5
{
  "formula": "Al5Rh3",
  "functional": "GGA-PBE",
  "state": "optimized geometry",
  "energy_ha_per_atom": -0.1958,
  "volume_a3_per_atom": 15.358,
  "mass_density_g_cm3": 6.0,
  "space_group": "P4/mmm (123)",
  "de_polymorph_ev_per_atom": 0.563,
  "total_magnetization_mub_per_atom": 0.086,
  "cell": [[-2.4176, 1.3686, 0.3876], [-0.0037, -0.7704, 2.6971], [7.9192, 12.9387, 3.7069]],
  "species": ["Al", "Al", "Al", "Al", "Al", "Rh", "Rh", "Rh"],
  "fractional_positions": [[0.0000, 0.0000, 0.7252], [0.5000, 0.5000, 0.8626], [0.0000, 0.0000, 0.0000], [0.5000, 0.5000, 0.1374], [0.0000, 0.0000, 0.2748], [0.5000, 0.5000, 0.3767], [0.0000, 0.0000, 0.5000], [0.5000, 0.5000, 0.6233]]
}

# 6
{
  "formula": "Al5Rh7",
  "functional": "GGA-PBE",
  "state": "optimized geometry",
  "energy_ha_per_atom": -0.2408,
  "volume_a3_per_atom": 14.105,
  "mass_density_g_cm3": 8.4,
  "space_group": "P-1 (2)",
  "de_polymorph_ev_per_atom": 0.083,
  "total_magnetization_mub_per_atom": 0.000,
  "cell": [[6.8031, -0.4049, 0.3213], [1.1912, 4.6239, 0.6368], [-0.8532, -0.7141, 5.1646]],
  "species": ["Rh", "Rh", "Rh", "Rh", "Rh", "Rh", "Rh", "Al", "Al", "Al", "Al", "Al"],
  "fractional_positions": [[0.9720, 0.4654, 0.1254], [0.3324, 0.6464, 0.6648], [0.0129, 0.9693, 0.4337], [0.3333, 0.1667, 0.9167], [0.6538, 0.3640, 0.3997], [0.3342, 0.6869, 0.1686], [0.6946, 0.8680, 0.7079], [0.0156, 0.9587, 0.9347], [0.3333, 0.1667, 0.4167], [0.6511, 0.3746, 0.8986], [0.6714, 0.8707, 0.1985], [0.9953, 0.4627, 0.6349]]
}

# 7
{
  "formula": "Al7Rh5",
  "functional": "GGA-PBE",
  "state": "optimized geometry",
  "energy_ha_per_atom": -0.2181,
  "volume_a3_per_atom": 14.527,
  "mass_density_g_cm3": 6.7,
  "space_group": "P1 (1)",
  "de_polymorph_ev_per_atom": 0.123,
  "total_magnetization_mub_per_atom": 0.000,
  "cell": [[-6.1055, -0.4358, 5.9824], [2.8288, -3.4528, 3.6809], [-0.1348, 3.6820, 1.4264]],
  "species": ["Rh", "Rh", "Rh", "Rh", "Rh", "Al", "Al", "Al", "Al", "Al", "Al", "Al"],
  "fractional_positions": [[0.2330, 0.6293, 0.6966], [0.5175, 0.5389, 0.0106], [0.2261, 0.2220, 0.9980], [0.4983, 0.1329, 0.3188], [0.7817, 0.0687, 0.6440], [0.9964, 0.0033, 0.0031], [0.2655, 0.9056, 0.3195], [0.4973, 0.8583, 0.6811], [0.7446, 0.7630, 0.0094], [0.0117, 0.6576, 0.3224], [0.7141, 0.3880, 0.3377], [0.0138, 0.3326, 0.6588]]
}

# 8
{
  "formula": "Al4Rh3",
  "functional": "GGA-PBE",
  "state": "optimized geometry",
  "energy_ha_per_atom": -0.2087,
  "volume_a3_per_atom": 15.504,
  "mass_density_g_cm3": 6.4,
  "space_group": "P6/mmm (191)",
  "de_polymorph_ev_per_atom": 0.530,
  "total_magnetization_mub_per_atom": 0.000,
  "cell": [[2.6171, -4.5330, 0.0000], [2.6171, 4.5330, 0.0000], [0.0000, 0.0000, 4.5741]],
  "species": ["Al", "Al", "Al", "Al", "Rh", "Rh", "Rh"],
  "fractional_positions": [[0.0000, 0.0000, 0.2478], [0.0000, 0.0000, 0.7522], [0.6667, 0.3333, 0.5000], [0.3333, 0.6667, 0.5000], [0.0000, 0.5000, 0.0000], [0.5000, 0.5000, 0.0000], [0.5000, 0.0000, 0.0000]]
}

# 9
{
  "formula": "Al2Rh3",
  "functional": "GGA-PBE",
  "state": "optimized geometry",
  "energy_ha_per_atom": -0.2414,
  "volume_a3_per_atom": 14.034,
  "mass_density_g_cm3": 8.6,
  "space_group": "P2/m (10)",
  "de_polymorph_ev_per_atom": 0.111,
  "total_magnetization_mub_per_atom": 0.000,
  "cell": [[-2.0591, -2.6672, 1.8374], [4.7334, -2.8991, 1.0961], [1.2887, 2.9090, 5.6671]],
  "species": ["Al", "Al", "Al", "Al", "Rh", "Rh", "Rh", "Rh", "Rh", "Rh"],
  "fractional_positions": [[0.0000, 0.0966, 0.8015], [0.5000, 0.0000, 0.5000], [0.0000, 0.9034, 0.1985], [0.0000, 0.5000, 0.0000], [0.5000, 0.7989, 0.8923], [0.0000, 0.7290, 0.5812], [0.5000, 0.6121, 0.3017], [0.5000, 0.3879, 0.6983], [0.0000, 0.2710, 0.4188], [0.5000, 0.2011, 0.1077]]
}

# 10
{
  "formula": "Al4Rh5",
  "functional": "GGA-PBE",
  "state": "optimized geometry",
  "energy_ha_per_atom": -0.2337,
  "volume_a3_per_atom": 14.651,
  "mass_density_g_cm3": 7.8,
  "space_group": "I4/mmm (139)",
  "de_polymorph_ev_per_atom": 0.184,
  "total_magnetization_mub_per_atom": 0.000,
  "cell": [[-2.9832, -2.0178, 4.8780], [1.1063, 5.1025, -3.0833], [-3.6913, -2.4852, -4.1188]],
  "species": ["Al", "Al", "Al", "Al", "Rh", "Rh", "Rh", "Rh", "Rh"],
  "fractional_positions": [[0.6982, 0.0000, 0.6982], [0.3018, 0.0000, 0.3018], [0.0000, 0.3018, 0.3018], [0.0000, 0.6982, 0.6982], [0.0000, 0.0000, 0.0000], [0.6695, 0.3305, 0.0000], [0.3305, 0.6695, 0.0000], [0.3305, 0.3305, 0.6610], [0.6695, 0.6695, 0.3390]]
}

# 11
{
  "formula": "Al2Rh3",
  "functional": "GGA-PBE",
  "state": "optimized geometry",
  "energy_ha_per_atom": -0.2431,
  "volume_a3_per_atom": 14.074,
  "mass_density_g_cm3": 8.6,
  "space_group": "P-1 (2)",
  "de_polymorph_ev_per_atom": 0.064,
  "total_magnetization_mub_per_atom": 0.000,
  "cell": [[-1.3492, 3.5369, -2.9234], [-2.9300, -3.1513, -2.1981], [-5.2488, -1.8444, 4.2363]],
  "species": ["Al", "Al", "Al", "Al", "Rh", "Rh", "Rh", "Rh", "Rh", "Rh"],
  "fractional_positions": [[0.7803, 0.3011, 0.5880], [0.2197, 0.6989, 0.4120], [0.2624, 0.2948, 0.1957], [0.7376, 0.7052, 0.8043], [0.7127, 0.8950, 0.4056], [0.7813, 0.5039, 0.1998], [0.2590, 0.8732, 0.0252], [0.7410, 0.1268, 0.9748], [0.2187, 0.4961, 0.8002], [0.2873, 0.1050, 0.5944]]
}

# 12
{
  "formula": "Al3Rh2",
  "functional": "GGA-PBE",
  "state": "optimized geometry",
  "energy_ha_per_atom": -0.2221,
  "volume_a3_per_atom": 14.278,
  "mass_density_g_cm3": 6.7,
  "space_group": "Fdd2 (43)",
  "total_magnetization_mub_per_atom": 0.000,
  "cell": [[0.0000, 4.3955, 6.6741], [2.4336, 0.0000, 6.6741], [2.4336, 4.3955, 0.0000]],
  "species": ["Al", "Al", "Al", "Al", "Al", "Al", "Rh", "Rh", "Rh", "Rh"],
  "fractional_positions": [[0.4860, 0.2894, 0.5115], [0.7131, 0.5115, 0.2894], [0.9606, 0.7640, 0.5369], [0.7385, 0.5369, 0.7640], [0.0997, 0.9003, 0.9003], [0.3497, 0.1503, 0.1503], [0.5385, 0.3387, 0.9602], [0.1626, 0.9602, 0.3387], [0.9113, 0.7115, 0.0874], [0.2898, 0.0874, 0.7115]]
}